First-principles (GGA-PBE) data for NpPa2Bi after structural relaxation, as listed in Alexandria.

POSCAR file:
```
NpPa2Bi
1.0
3.876 0.000 0.000
0.000 3.876 0.000
0.000 0.000 6.726
Np Pa Bi
1 2 1
Direct
0.500 0.500 0.000
0.000 0.000 0.777
0.000 0.000 0.223
0.500 0.500 0.500
```

## Properties
formation energy = 0.16 eV per atom
energy relative to the lowest polymorph listed for this composition = 98 meV/atom
final energy = -35.17 eV/f.u.



First-principles (GGA-PBE) data for CdTe2 after structural relaxation, as listed in Alexandria.

POSCAR file:
```
CdTe2
1.0
-4.214 -3.712 1.804
3.005 -4.527 -2.295
1.419 -0.361 2.570
Te Cd
2 1
Direct
0.000 0.500 0.500
0.500 0.000 0.500
0.000 0.000 0.000
```

## Properties
E_form (uncorrected) = 0.157 eV/atom
final energy = -6.73 eV/f.u.



> The lowest final energy belongs to which entry?

NpPa2Bi